VASP calculation (PBE) on a relaxed structure of TlHgSeO4.

Cell and atoms, written as POSCAR:
```
TlHgSeO4
1.0
-3.167 3.167 4.312
3.167 -3.167 4.312
3.167 3.167 -4.312
Tl Hg Se O
1 1 1 4
Direct
0.000 0.000 0.000
0.500 0.500 0.000
0.750 0.250 0.500
0.027 0.505 0.812
0.495 0.307 0.523
0.693 0.215 0.188
0.785 0.973 0.477
```

Density of states at the Fermi level: 3.68 states/eV per cell
E: -4.241 eV per atom
V: 173.00 Å³/cell
Magnetic moment: 0.70 μB per formula unit
Energy relative to the elements, uncorrected: -0.53 eV/atom